Here is crystalline MgRu2 at its relaxed geometry from Alexandria. Energies are from PBE-GGA.

Results
Mass density: 8.28 g/cm³
Total magnetic moment: 0.0 Bohr magnetons per cell
E_form: 0.39 eV/f.u.
Symmetry: P-3m1
E_tot: -19.8 eV per cell

POSCAR file:
```
MgRu2
1.0
2.7901 0.0000 0.0000
-1.3951 2.4163 0.0000
0.0000 0.0000 6.7360
Ru Mg
2 1
Cartesian
0.0000 0.0000 6.6315
0.0000 1.6109 4.5952
1.3951 0.8054 2.2453
```